(1)
# KZn4Hg, PBEsol geometry, DFT SCAN
data_KZn4Hg
_chemical_formula_sum 'K1 Zn4 Hg1'
_cell_length_a 5.437
_cell_length_b 5.437
_cell_length_c 5.437
_cell_angle_alpha 60.00
_cell_angle_beta 60.00
_cell_angle_gamma 60.00
_space_group_name_H-M_alt 'P 1'
_space_group_IT_number 1
_space_group_name_Hall 'P 1'
loop_
_atom_site_label
_atom_site_fract_x
_atom_site_fract_y
_atom_site_fract_z
_atom_site_occupancy
Hg1 0.750 0.750 0.750 1
K1 0.000 0.000 0.000 1
Zn1 0.376 0.376 0.376 1
Zn2 0.376 0.376 0.872 1
Zn3 0.872 0.376 0.376 1
Zn4 0.376 0.872 0.376 1
# ΔE_f, eV/atom: 0.10
# Space group: F-43m



(2)
# Mg10TiSnB4O20, PBEsol geometry, DFT SCAN
data_Mg10TiSnB4O20
_chemical_formula_sum 'Mg20 Ti2 Sn2 B8 O40'
_cell_length_a 6.076
_cell_length_b 9.803
_cell_length_c 12.734
_cell_angle_alpha 85.57
_cell_angle_beta 76.19
_cell_angle_gamma 71.95
_space_group_name_H-M_alt 'P 1'
_space_group_IT_number 1
_space_group_name_Hall 'P 1'
loop_
_atom_site_label
_atom_site_fract_x
_atom_site_fract_y
_atom_site_fract_z
_atom_site_occupancy
Mg1 0.893 0.000 0.717 1
Mg2 0.107 0.000 0.283 1
Mg3 0.753 0.994 0.499 1
Mg4 0.247 0.006 0.501 1
Mg5 0.759 0.000 0.000 1
Mg6 0.241 0.000 0.000 1
Mg7 0.751 0.500 0.500 1
Mg8 0.249 0.500 0.500 1
Mg9 0.607 0.496 0.781 1
Mg10 0.393 0.504 0.219 1
Mg11 0.757 0.488 0.997 1
Mg12 0.243 0.512 0.003 1
Mg13 0.389 0.000 0.717 1
Mg14 0.611 0.000 0.283 1
Mg15 0.884 0.504 0.219 1
Mg16 0.116 0.496 0.781 1
Mg17 0.178 0.763 0.880 1
Mg18 0.822 0.237 0.120 1
Mg19 0.940 0.738 0.382 1
Mg20 0.060 0.262 0.618 1
Ti1 0.437 0.739 0.386 1
Ti2 0.563 0.261 0.614 1
Sn1 0.678 0.760 0.884 1
Sn2 0.322 0.240 0.116 1
B1 0.455 0.230 0.860 1
B2 0.545 0.770 0.140 1
B3 0.820 0.723 0.637 1
B4 0.180 0.277 0.363 1
B5 0.961 0.221 0.857 1
B6 0.039 0.779 0.143 1
B7 0.316 0.728 0.640 1
B8 0.684 0.272 0.360 1
O1 0.489 0.613 0.922 1
O2 0.511 0.387 0.078 1
O3 0.953 0.855 0.239 1
O4 0.047 0.145 0.761 1
O5 0.241 0.876 0.642 1
O6 0.759 0.124 0.358 1
O7 0.947 0.150 0.956 1
O8 0.053 0.850 0.044 1
O9 0.869 0.899 0.856 1
O10 0.131 0.101 0.144 1
O11 0.403 0.654 0.541 1
O12 0.597 0.346 0.459 1
O13 0.583 0.882 0.425 1
O14 0.417 0.118 0.575 1
O15 0.459 0.843 0.239 1
O16 0.541 0.157 0.761 1
O17 0.308 0.649 0.734 1
O18 0.692 0.351 0.266 1
O19 0.744 0.871 0.642 1
O20 0.256 0.129 0.358 1
O21 0.381 0.377 0.861 1
O22 0.619 0.623 0.139 1
O23 0.748 0.610 0.357 1
O24 0.252 0.390 0.643 1
O25 0.715 0.390 0.643 1
O26 0.285 0.610 0.357 1
O27 0.889 0.118 0.575 1
O28 0.111 0.882 0.425 1
O29 0.906 0.646 0.542 1
O30 0.094 0.354 0.458 1
O31 0.448 0.148 0.955 1
O32 0.552 0.852 0.045 1
O33 0.376 0.899 0.856 1
O34 0.624 0.101 0.144 1
O35 0.888 0.370 0.853 1
O36 0.112 0.630 0.147 1
O37 0.976 0.613 0.922 1
O38 0.024 0.387 0.078 1
O39 0.811 0.644 0.734 1
O40 0.189 0.356 0.266 1
# Space group: P-1
# E_form (uncorrected), eV/atom: -2.912



(3)
# SrNiF6, PBEsol geometry, DFT SCAN
data_SrNiF6
_chemical_formula_sum 'Sr1 Ni1 F6'
_cell_length_a 4.647
_cell_length_b 4.647
_cell_length_c 4.647
_cell_angle_alpha 99.50
_cell_angle_beta 99.50
_cell_angle_gamma 99.50
_space_group_name_H-M_alt 'P 1'
_space_group_IT_number 1
_space_group_name_Hall 'P 1'
loop_
_atom_site_label
_atom_site_fract_x
_atom_site_fract_y
_atom_site_fract_z
_atom_site_occupancy
Sr1 0.000 0.000 0.000 1
F1 0.433 0.780 0.780 1
F2 0.780 0.780 0.433 1
F3 0.567 0.220 0.220 1
F4 0.220 0.567 0.220 1
F5 0.220 0.220 0.567 1
F6 0.780 0.433 0.780 1
Ni1 0.500 0.500 0.500 1
# Space group: R-3m
# E_form (uncorrected), eV/atom: -2.729



(4)
# NbZn3Pd, PBEsol geometry, DFT SCAN
data_NbZn3Pd
_chemical_formula_sum 'Nb1 Zn3 Pd1'
_cell_length_a 4.531
_cell_length_b 4.531
_cell_length_c 4.531
_cell_angle_alpha 90.00
_cell_angle_beta 90.00
_cell_angle_gamma 90.00
_space_group_name_H-M_alt 'P 1'
_space_group_IT_number 1
_space_group_name_Hall 'P 1'
loop_
_atom_site_label
_atom_site_fract_x
_atom_site_fract_y
_atom_site_fract_z
_atom_site_occupancy
Nb1 0.500 0.500 0.500 1
Zn1 0.000 0.500 0.000 1
Zn2 0.000 0.000 0.500 1
Zn3 0.500 0.000 0.000 1
Pd1 0.000 0.000 0.000 1
# ΔE_f, eV/atom: 0.58
# Space group: Pm-3m



(5)
# FeCuAs2Br, PBEsol geometry, DFT SCAN
data_FeCuAs2Br
_chemical_formula_sum 'Fe1 Cu1 As2 Br1'
_cell_length_a 4.364
_cell_length_b 4.364
_cell_length_c 5.148
_cell_angle_alpha 90.00
_cell_angle_beta 90.00
_cell_angle_gamma 90.00
_space_group_name_H-M_alt 'P 1'
_space_group_IT_number 1
_space_group_name_Hall 'P 1'
loop_
_atom_site_label
_atom_site_fract_x
_atom_site_fract_y
_atom_site_fract_z
_atom_site_occupancy
As1 0.000 0.500 0.000 1
As2 0.500 0.000 0.000 1
Cu1 0.500 0.500 0.500 1
Br1 0.000 0.000 0.500 1
Fe1 0.000 0.000 0.000 1
# Space group: P4/mmm
# E_form (uncorrected), eV/atom: 0.645



(6)
# Fe2PPb, PBEsol geometry, DFT SCAN
data_Fe2PPb
_chemical_formula_sum 'Fe2 P1 Pb1'
_cell_length_a 2.936
_cell_length_b 2.936
_cell_length_c 6.748
_cell_angle_alpha 90.00
_cell_angle_beta 90.00
_cell_angle_gamma 90.00
_space_group_name_H-M_alt 'P 1'
_space_group_IT_number 1
_space_group_name_Hall 'P 1'
loop_
_atom_site_label
_atom_site_fract_x
_atom_site_fract_y
_atom_site_fract_z
_atom_site_occupancy
Fe1 0.000 0.000 0.831 1
Fe2 0.000 0.000 0.169 1
P1 0.500 0.500 0.000 1
Pb1 0.500 0.500 0.500 1
# ΔE_f, eV/atom: 0.29
# Space group: P4/mmm



Total DFT energy (no corrections) in eV per atom, matching the order above: -21.66 -10.02 -10.19 -20.71 -17.99 -30.32
Total magnetic moment in μB/f.u., matching the order above: 0.00 0.00 0.00 1.36 1.05 4.14